No. 1
Entry from the Alexandria database: La2SmDyO after structural relaxation (PBE).

Computed properties:
Mass density = 7.5 Mg/m³
Uncorrected formation energy = -1137 meV/atom
Raw total energy = -5.96 eV/atom

a b c (Å): 5.338 5.338 4.711
angles (deg): 90.00 90.00 90.00
Fractional positions:
La 0.000 0.500 0.000
La 0.500 0.000 0.000
Sm 0.000 0.000 0.500
Dy 0.500 0.500 0.500
O 0.500 0.500 0.000

***

No. 2
Entry from the Alexandria database: In2AgSn2 after structural relaxation (PBE).

Computed properties:
Mass density = 7.1 Mg/m³
Energy above the lowest structure with this stoichiometry = 0 meV/atom
Raw total energy = -3.17 eV/atom
ΔE_f = 0.47 eV per formula unit

a b c (Å): 7.496 7.496 4.817
angles (deg): 90.00 90.00 90.00
Fractional positions:
In 0.165 0.335 0.000
In 0.335 0.835 0.000
In 0.665 0.165 0.000
In 0.835 0.665 0.000
Ag 0.000 0.000 0.500
Ag 0.500 0.500 0.500
Sn 0.146 0.646 0.500
Sn 0.354 0.146 0.500
Sn 0.646 0.854 0.500
Sn 0.854 0.354 0.500

***

No. 3
Entry from the Alexandria database: La2Er2Tm3 after structural relaxation (PBE).

Computed properties:
Mass density = 8.1 Mg/m³
Energy above the lowest structure with this stoichiometry = 181 meV/atom
Raw total energy = -4.41 eV/atom
ΔE_f = 1.51 eV per formula unit

a b c (Å): 8.429 8.429 8.429
angles (deg): 109.47 109.47 109.47
Fractional positions:
La 0.000 0.816 0.500
La 0.500 0.000 0.816
La 0.684 0.684 0.684
La 0.816 0.500 0.000
Er 0.000 0.418 0.500
Er 0.082 0.082 0.082
Er 0.418 0.500 0.000
Er 0.500 0.000 0.418
Tm 0.200 0.750 0.950
Tm 0.250 0.550 0.300
Tm 0.300 0.250 0.550
Tm 0.550 0.300 0.250
Tm 0.750 0.950 0.200
Tm 0.950 0.200 0.750